First-principles (PBE-GGA) data for crystalline CoGeSbTe2 at its relaxed geometry, as listed in the Alexandria database.

The structure in POSCAR format:
```
CoGeSbTe2
1.0
5.213 0.000 0.000
0.000 5.213 0.000
0.000 0.000 4.695
Co Ge Sb Te
1 1 1 2
direct
0.000 0.000 0.000
0.500 0.500 0.500
0.000 0.000 0.500
0.000 0.500 0.000
0.500 0.000 0.000
```

Computed properties:
The uncorrected formation energy is 430 meV per atom. Its magnetization is 0.00 μB per formula unit. The calculation puts the total energy at -3.996 eV/atom.